The following is a DFT calculation (GGA-PBE) of crystalline YTlVH2 at its relaxed geometry.

Cell: 4.103 5.313 4.103 Å, 90.00 90.00 90.00°
Site moments in Bohr magnetons follow the coordinates.
Fractional positions:
H 0.500 0.000 0.000  -0.02
Y 0.500 0.500 0.500  -0.23
V 0.000 0.000 0.000  1.85
H 0.000 0.000 0.500  -0.03
Tl 0.000 0.500 0.000  -0.12

final energy = -4.5480 eV per atom

=====

The following is a DFT calculation (GGA-PBE) of crystalline Y2TlVH at its relaxed geometry.

Cell: 5.193 5.193 3.763 Å, 90.00 90.00 90.00°
Site moments in Bohr magnetons follow the coordinates.
Fractional positions:
Y 0.000 0.500 0.000  0.05
Y 0.500 0.000 0.000  0.05
H 0.000 0.000 0.000  -0.01
V 0.000 0.000 0.500  2.15
Tl 0.500 0.500 0.500  -0.02

final energy = -5.6633 eV per atom

=====

no.,Fermi-level density of states (states/eV/cell)
1,2.1
2,3.9